[1]
KInOs3 | PBE | optimized geometry

```
KInOs3
1.0
4.632 0.000 0.000
0.000 4.632 0.000
0.000 0.000 4.632
K Os In
1 3 1
direct
0.000 0.000 0.000
0.000 0.500 0.000
0.000 0.000 0.500
0.500 0.000 0.000
0.500 0.500 0.500
```

Results
The formation energy comes out at 17.9 eV per formula unit. Its distance to the lowest polymorph of the same formula is 902 meV/atom. As for the space group: Pm-3m, No. 221.

[2]
CrCo2Rh | PBE | optimized geometry

```
CrCo2Rh
1.0
2.607 0.000 0.000
0.000 3.526 0.000
0.000 0.000 5.185
Co Rh Cr
2 1 1
direct
0.000 0.000 0.026
0.500 0.500 0.244
0.500 0.500 0.747
0.000 0.000 0.483
```

Results
The formation energy comes out at 0.1 eV per formula unit. As for the space group: Pmm2, No. 25.

[3]
LiTcAu2 | PBE | optimized geometry

```
LiTcAu2
1.0
-2.303 1.875 -2.596
1.968 -1.694 -2.969
-6.051 -6.963 -2.658
Au Tc Li
4 2 2
direct
0.617 0.125 0.250
0.133 0.625 0.250
0.375 0.383 0.750
0.875 0.867 0.750
0.000 0.000 0.000
0.750 0.250 0.500
0.500 0.500 0.000
0.250 0.750 0.500
```

Results
The formation energy comes out at 2.3 eV per formula unit. Its distance to the lowest polymorph of the same formula is 616 meV/atom. As for the space group: I-42d, No. 122.

[4]
LiEr2AsPb | PBE | optimized geometry

```
LiEr2AsPb
1.0
4.116 0.000 0.000
0.000 7.640 0.368
0.000 -2.805 7.763
Li Er As Pb
2 4 2 2
direct
0.250 0.543 0.640
0.750 0.457 0.360
0.750 0.877 0.608
0.750 0.755 0.022
0.250 0.123 0.392
0.250 0.245 0.978
0.250 0.853 0.830
0.750 0.147 0.170
0.250 0.682 0.298
0.750 0.318 0.702
```

Results
The formation energy comes out at -3.8 eV per formula unit. As for the space group: P2_1/m, No. 11.

[5]
MgSiTeI2 | PBE | optimized geometry

```
MgSiTeI2
1.0
5.507 0.000 0.000
0.000 5.507 0.000
0.000 0.000 5.501
I Si Te Mg
2 1 1 1
direct
0.000 0.500 0.000
0.500 0.000 0.000
0.000 0.000 0.000
0.000 0.000 0.500
0.500 0.500 0.500
```

Results
For the uncorrected formation energy, the calculation gives 0.1320 eV/atom. Its distance to the lowest polymorph of the same formula is 0 meV/atom. As for the space group: P4/mmm, No. 123.

[6]
FeOsAu2 | PBE | optimized geometry

```
FeOsAu2
1.0
-0.602 -2.093 3.915
-1.871 -4.069 0.100
2.484 -3.583 1.030
Au Fe Os
2 1 1
direct
0.000 0.000 0.000
0.250 0.250 0.250
0.500 0.500 0.500
0.750 0.750 0.750
```

Results
The formation energy comes out at 2.4 eV per formula unit. Its distance to the lowest polymorph of the same formula is 351 meV/atom. As for the space group: F-43m, No. 216.

Please write out number 2 again, unchanged.
CrCo2Rh | PBE | optimized geometry

```
CrCo2Rh
1.0
2.607 0.000 0.000
0.000 3.526 0.000
0.000 0.000 5.185
Co Rh Cr
2 1 1
direct
0.000 0.000 0.026
0.500 0.500 0.244
0.500 0.500 0.747
0.000 0.000 0.483
```

Results
The formation energy comes out at 0.1 eV per formula unit. As for the space group: Pmm2, No. 25.